[1]
Material: LiSm2Cd3
Method: DFT, PBE
State: relaxed

Unit cell a=3.355 b=5.049 c=8.775 alpha=90.00 beta=90.00 gamma=90.00
Fractional positions:
Cd 0.500 0.000 0.836
Cd 0.500 0.000 0.177
Cd 0.500 0.500 0.657
Li 0.500 0.500 0.331
Sm 0.000 0.500 0.996
Sm 0.000 0.000 0.503

Computed properties:
distance to the lowest polymorph of the same formula = 4 meV per atom
uncorrected energy = -15.70 eV per cell
total magnetic moment = 0.000 μB/cell
energy of formation = -0.2663 eV/atom
SG = Pmm2 (25)


[2]
Material: LiSmCd2
Method: DFT, PBE
State: relaxed

Unit cell a=3.478 b=3.478 c=7.616 alpha=90.00 beta=90.00 gamma=90.00
Last column: magnetic moment on the atom in μB.
Fractional positions:
Cd 0.000 0.000 0.207  0.00
Cd 0.000 0.000 0.793  0.00
Li 0.500 0.500 0.000  0.00
Sm 0.500 0.500 0.500  0.09

Computed properties:
distance to the lowest polymorph of the same formula = 14 meV per atom
uncorrected energy = -9.51 eV per cell
total magnetic moment = 0.169 μB/cell
energy of formation = -0.2620 eV/atom
SG = P4/mmm (123)


[3]
Material: Li2Sm3Cd7
Method: DFT, PBE
State: relaxed

Unit cell a=5.917 b=5.917 c=9.915 alpha=72.64 beta=72.64 gamma=60.00
Fractional positions:
Cd 0.925 0.419 0.237
Cd 0.581 0.075 0.763
Cd 0.075 0.581 0.763
Cd 0.419 0.925 0.237
Cd 0.500 0.500 0.500
Cd 0.581 0.581 0.763
Cd 0.419 0.419 0.237
Li 0.667 0.667 0.000
Li 0.333 0.333 0.000
Sm 0.137 0.137 0.589
Sm 0.863 0.863 0.411
Sm 0.000 0.000 0.000

Computed properties:
uncorrected energy = -27.47 eV per cell
total magnetic moment = 0.000 μB/cell
energy of formation = -0.2570 eV/atom
SG = R-3m (166)